1.
Computed, not measured: a relaxed Mg2Ni crystal at the PBE level of DFT.

Output
The electronic total energy is -0.1129 hartree per atom. Its crystal system is hexagonal. Its size of the total moment is 0.00 μB/atom.

Cell: 5.183 5.183 13.150 Å, 90.00 90.00 120.00°
Sites, in units of the cell vectors:
Mg1 0.836 0.164 0.333
Mg2 0.328 0.164 0.667
Mg3 0.500 0.000 0.116
Mg4 0.164 0.836 0.333
Mg5 0.672 0.836 0.667
Mg6 0.500 0.000 0.884
Mg7 0.000 0.500 0.551
Mg8 0.164 0.328 0.000
Mg9 0.836 0.672 0.000
Mg10 0.000 0.500 0.783
Mg11 0.500 0.500 0.449
Mg12 0.500 0.500 0.217
Ni1 0.500 0.500 0.833
Ni2 0.000 0.000 0.167
Ni3 0.500 0.000 0.500
Ni4 0.000 0.500 0.167
Ni5 0.000 0.000 0.833
Ni6 0.000 0.000 0.500

=====

2.
Computed, not measured: a relaxed MgNi11 crystal at the PBE level of DFT.

Output
The electronic total energy is -0.1931 hartree per atom. Its crystal system is monoclinic. Its size of the total moment is 0.46 μB/atom.

Cell: 4.980 4.980 7.474 Å, 119.92 119.92 60.02°
Sites, in units of the cell vectors:
Ni1 0.832 0.338 0.340
Ni2 0.664 0.664 0.666
Ni3 0.336 0.336 0.334
Ni4 0.662 0.168 0.660
Ni5 0.000 0.500 0.000
Ni6 0.500 0.000 0.000
Ni7 0.169 0.169 0.671
Ni8 0.168 0.662 0.660
Ni9 0.338 0.832 0.340
Ni10 0.500 0.500 0.000
Ni11 0.831 0.831 0.329
Mg1 0.000 0.000 0.000

=====

3.
Computed, not measured: a relaxed Mg6Ni crystal at the PBE level of DFT.

Output
The electronic total energy is -0.0795 hartree per atom. Its crystal system is triclinic. Its size of the total moment is 0.00 μB/atom.

Cell: 5.655 5.723 8.722 Å, 80.88 87.33 84.43°
Sites, in units of the cell vectors:
Mg1 0.194 0.112 0.565
Mg2 0.443 0.228 0.247
Mg3 0.916 0.417 0.307
Mg4 0.202 0.662 0.028
Mg5 0.798 0.338 0.972
Mg6 0.658 0.305 0.626
Mg7 0.084 0.583 0.693
Mg8 0.694 0.833 0.087
Mg9 0.557 0.772 0.753
Mg10 0.342 0.695 0.374
Mg11 0.806 0.888 0.435
Mg12 0.306 0.167 0.913
Ni1 0.065 0.027 0.182
Ni2 0.935 0.973 0.818

=====

4.
Computed, not measured: a relaxed Mg4Ni3 crystal at the PBE level of DFT.

Output
The electronic total energy is -0.1224 hartree per atom. As for the energy above the most stable polymorph in this dataset: 0 meV/atom. Its crystal system is hexagonal. Its size of the total moment is 0.00 μB/atom.

Cell: 7.422 7.421 4.445 Å, 90.00 90.00 60.01°
Sites, in units of the cell vectors:
Mg1 0.785 0.936 0.500
Mg2 0.017 0.959 0.000
Mg3 0.507 0.422 0.500
Mg4 0.530 0.167 0.000
Mg5 0.429 0.857 0.000
Mg6 0.993 0.214 0.500
Mg7 0.095 0.524 0.500
Mg8 0.738 0.445 0.000
Ni1 0.381 0.085 0.500
Ni2 0.867 0.704 0.000
Ni3 0.248 0.809 0.500
Ni4 0.276 0.572 0.000
Ni5 0.657 0.677 0.500
Ni6 0.143 0.296 0.000